(1)
A plane-wave DFT calculation with PBE was carried out for a relaxed K2PClF5 crystal.

Unit cell a=6.2652 b=6.2652 c=6.2652 alpha=119.85 beta=119.85 gamma=90.25
Closest atoms and distances in Å follow each position.
Fractional coordinates of all 9 atoms:
K: 0.0000 0.5000 0.5000  10 F 3.06-3.28, 2 Cl 3.16
K: 0.5000 0.0000 0.5000  10 F 3.06-3.28, 2 Cl 3.16
P: 0.2621 0.2621 0.0000  5 F 1.67-1.74
Cl: 0.9560 0.9560 0.0000  1 P 2.71
F: 0.0723 0.0723 0.6077  1 P 1.74
F: 0.0723 0.4646 0.0000  1 P 1.74
F: 0.4512 0.4512 0.0000  1 P 1.67
F: 0.4646 0.0723 0.0000  1 P 1.74
F: 0.4646 0.4646 0.3923  1 P 1.74

Formation energy from raw total energies = -53.05 kcal/mol of atoms
Mass density = 2.28 g cm⁻³
Space-group type = I4mm, No. 107
Raw total energy = -4.390 eV per atom

***

(2)
A plane-wave DFT calculation with PBE was carried out for a relaxed Pm3Tm7Sc crystal.

Unit cell a=6.9492 b=6.9492 c=8.5234 alpha=90.00 beta=90.00 gamma=120.00
Closest atoms and distances in Å follow each position.
Fractional coordinates of all 11 atoms:
Pm: 0.0015 0.5008 0.0000  4 Pm 3.46-3.49, 5 Tm 3.49-3.54, 1 Sc 3.50
Pm: 0.4992 0.5008 0.0000  4 Pm 3.46-3.49, 5 Tm 3.49-3.54, 1 Sc 3.50
Pm: 0.4992 0.9985 0.0000  4 Pm 3.46-3.49, 5 Tm 3.49-3.54, 1 Sc 3.50
Tm: 0.1682 0.3363 0.6570  1 Sc 3.37, 8 Tm 3.40-3.51, 2 Pm 3.54
Tm: 0.1682 0.8318 0.6570  1 Sc 3.37, 8 Tm 3.40-3.51, 2 Pm 3.54
Tm: 0.3350 0.1675 0.3355  7 Tm 3.40-3.49, 2 Sc 3.47, 2 Pm 3.49
Tm: 0.6637 0.8318 0.6570  1 Sc 3.37, 8 Tm 3.40-3.51, 2 Pm 3.54
Tm: 0.6667 0.3333 0.6597  9 Tm 3.41-3.47, 3 Pm 3.53
Tm: 0.8325 0.1675 0.3355  7 Tm 3.40-3.49, 2 Sc 3.47, 2 Pm 3.49
Tm: 0.8325 0.6650 0.3355  7 Tm 3.40-3.49, 2 Sc 3.47, 2 Pm 3.49
Sc: 0.3333 0.6667 0.3374  9 Tm 3.37-3.47, 3 Pm 3.50

Mass density = 7.74 g cm⁻³
Space-group type = P3m1, No. 156
Raw total energy = -4.532 eV per atom
E_form = 0.184 eV per atom

***

(3)
A plane-wave DFT calculation with PBE was carried out for a relaxed BaSbMo2As crystal.

Unit cell a=4.8618 b=4.8618 c=5.9705 alpha=90.00 beta=90.00 gamma=90.00
Closest atoms and distances in Å follow each position.
Fractional coordinates of all 5 atoms:
Ba: 0.0000 0.0000 0.0000  2 As 2.99
Sb: 0.5000 0.5000 0.0000  4 Ba 3.44, 8 Mo 3.85
Mo: 0.0000 0.5000 0.5000  2 As 2.43
Mo: 0.5000 0.0000 0.5000  2 As 2.43
As: 0.0000 0.0000 0.5000  4 Mo 2.43

Formation energy from raw total energies = 17.60 kcal/mol of atoms
Mass density = 6.19 g cm⁻³
Space-group type = P4/mmm, No. 123
Raw total energy = -5.708 eV per atom

***

(4)
A plane-wave DFT calculation with PBE was carried out for a relaxed K3Ag2Sb4 crystal.

Unit cell a=7.1394 b=7.1394 c=9.8372 alpha=93.76 beta=93.76 gamma=39.08
Closest atoms and distances in Å follow each position.
Fractional coordinates of all 9 atoms:
K: 0.0000 0.0000 0.0000  8 Sb 3.64-4.06, 4 Ag 3.80
K: 0.3402 0.3402 0.3443  4 Ag 3.65-4.01, 7 Sb 3.69-3.83
K: 0.6598 0.6598 0.6557  4 Ag 3.65-4.01, 7 Sb 3.69-3.83
Ag: 0.3971 0.3971 0.7249  3 Sb 2.71-2.74
Ag: 0.6029 0.6029 0.2751  3 Sb 2.71-2.74
Sb: 0.0628 0.0628 0.3905  2 Ag 2.71, 1 Sb 2.83
Sb: 0.2593 0.2593 0.9167  1 Ag 2.74, 2 Sb 2.92
Sb: 0.7407 0.7407 0.0833  1 Ag 2.74, 2 Sb 2.92
Sb: 0.9372 0.9372 0.6095  2 Ag 2.71, 1 Sb 2.83

Formation energy from raw total energies = -6.21 kcal/mol of atoms
Mass density = 4.32 g cm⁻³
Space-group type = C2/m, No. 12
Raw total energy = -3.101 eV per atom

***

(5)
A plane-wave DFT calculation with PBE was carried out for a relaxed NiMoOs2 crystal.

Unit cell a=3.8472 b=3.8472 c=3.7503 alpha=90.00 beta=90.00 gamma=90.00
Closest atoms and distances in Å follow each position.
Fractional coordinates of all 4 atoms:
Ni: 0.0000 0.0000 0.0000  8 Os 2.69, 4 Mo 2.72
Mo: 0.5000 0.5000 0.0000  8 Os 2.69, 4 Ni 2.72
Os: 0.0000 0.5000 0.5000  4 Mo 2.69, 4 Ni 2.69, 4 Os 2.72
Os: 0.5000 0.0000 0.5000  4 Mo 2.69, 4 Ni 2.69, 4 Os 2.72

Mass density = 16.01 g cm⁻³
Space-group type = P4/mmm, No. 123
Raw total energy = -9.730 eV per atom
E_form = 0.038 eV per atom

***

(6)
A plane-wave DFT calculation with PBE was carried out for a relaxed DyHoScPa crystal.

Unit cell a=7.6573 b=7.6573 c=7.6573 alpha=90.00 beta=90.00 gamma=90.00
Closest atoms and distances in Å follow each position.
Fractional coordinates of all 16 atoms:
Dy: 0.0000 0.0000 0.0000  4 Ho 3.32, 4 Sc 3.32
Dy: 0.0000 0.5000 0.5000  4 Ho 3.32, 4 Sc 3.32
Dy: 0.5000 0.0000 0.5000  4 Ho 3.32, 4 Sc 3.32
Dy: 0.5000 0.5000 0.0000  4 Ho 3.32, 4 Sc 3.32
Ho: 0.2500 0.2500 0.7500  4 Dy 3.32, 4 Pa 3.32
Ho: 0.2500 0.7500 0.2500  4 Dy 3.32, 4 Pa 3.32
Ho: 0.7500 0.2500 0.2500  4 Dy 3.32, 4 Pa 3.32
Ho: 0.7500 0.7500 0.7500  4 Dy 3.32, 4 Pa 3.32
Sc: 0.2500 0.2500 0.2500  4 Dy 3.32, 4 Pa 3.32
Sc: 0.2500 0.7500 0.7500  4 Dy 3.32, 4 Pa 3.32
Sc: 0.7500 0.2500 0.7500  4 Dy 3.32, 4 Pa 3.32
Sc: 0.7500 0.7500 0.2500  4 Dy 3.32, 4 Pa 3.32
Pa: 0.0000 0.0000 0.5000  4 Sc 3.32, 4 Ho 3.32
Pa: 0.0000 0.5000 0.0000  4 Sc 3.32, 4 Ho 3.32
Pa: 0.5000 0.0000 0.0000  4 Sc 3.32, 4 Ho 3.32
Pa: 0.5000 0.5000 0.5000  4 Sc 3.32, 4 Ho 3.32

Mass density = 8.93 g cm⁻³
Space-group type = F-43m, No. 216
Raw total energy = -5.960 eV per atom
E_form = 0.292 eV per atom

***

Short version: magnetic moment = 1.00, 0.00, 3.80, 0.00, 0.00, 0.00 μB per formula unit, in the order given.